Record 1
## ZnW2Cl (PBE)

Data for a geometry-optimized ZnW2Cl structure.

Summary:
Its space-group type is No. 65. The uncorrected formation energy comes out at 1108.1 meV per atom.

a = 5.189 Å, b = 5.189 Å, c = 2.744 Å
α = 90.00°, β = 90.00°, γ = 117.76°
Sites, in units of the cell vectors:
Zn1 0.000 0.000 0.000
W1 0.000 0.500 0.500
W2 0.500 0.000 0.500
Cl1 0.500 0.500 0.000



Record 2
## VZnB (PBE)

Data for a geometry-optimized VZnB structure.

Summary:
Its space-group type is No. 156. The energy of formation comes out at -143 meV/atom.

a = 2.876 Å, b = 2.876 Å, c = 9.891 Å
α = 90.00°, β = 90.00°, γ = 120.00°
Sites, in units of the cell vectors:
V1 0.000 0.000 0.000
V2 0.333 0.667 0.348
Zn1 0.000 0.000 0.564
Zn2 0.333 0.667 0.784
B1 0.000 0.000 0.208
B2 0.667 0.333 0.174